The following is a DFT calculation (PBE) of a relaxed structure of SrYPd10.

The value obtained for the theoretical density is 9.18 g/cm³. For the formation energy, the calculation gives -434 meV per atom. As for the density of states at the Fermi level: 13.4 states/eV per cell.

It has space group Pmmm (No. 47), with a = 4.4939 Å, b = 5.3625 Å, c = 9.3118 Å, α = 90.00°, β = 90.00° and γ = 90.00°. The inequivalent atoms are Sr at (0.0000, 0.0000, 0.0000), Y at (0.0000, 0.5000, 0.5000), Pd at (0.0000, 0.0000, 0.3411), Pd at (0.0000, 0.5000, 0.1779), Pd at (0.5000, 0.0000, 0.5000), Pd at (0.5000, 0.2519, 0.2550) and Pd at (0.5000, 0.5000, 0.0000).



The following is a DFT calculation (PBE) of a relaxed structure of Sr2YPd2.

The value obtained for the theoretical density is 5.54 g/cm³. For the formation energy, the calculation gives -188 meV per atom. As for the density of states at the Fermi level: 9.5 states/eV per cell.

It has space group I4/mmm (No. 139), with a = 4.6046 Å, b = 4.6046 Å, c = 13.4847 Å, α = 90.00°, β = 90.00° and γ = 90.00°. The inequivalent atoms are Sr at (0.0000, 0.5000, 0.2500), Y at (0.0000, 0.0000, 0.0000) and Pd at (0.0000, 0.0000, 0.4037).